Entry 1:
Lu2ScCo, relaxed, DFT GGA-PBE; DFT formation energy = 131 meV per atom; relative energy among the computed polymorphs = 236 meV/atom; symmetry = Fm-3m (225)
1.0
4.943 0.000 0.000
2.472 4.281 0.000
2.472 1.427 4.033
Sc Lu Co
1 2 1
Direct
0.500 0.500 0.500 Sc
0.750 0.750 0.750 Lu
0.250 0.250 0.250 Lu
0.000 0.000 0.000 Co

=====

Entry 2:
LiFeTe, relaxed, DFT GGA-PBE; relative energy among the computed polymorphs = 283 meV/atom; symmetry = I4mm (107); raw formation energy = 0.0160 eV/atom
1.0
-2.866 -0.359 3.645
1.367 -2.551 3.641
1.750 3.385 -2.667
Te Fe Li
1 1 1
Direct
0.659 0.659 0.000 Te
0.007 0.007 0.000 Fe
0.335 0.335 0.000 Li

=====

Entry 3:
UFeB, relaxed, DFT GGA-PBE; DFT formation energy = -159 meV per atom; relative energy among the computed polymorphs = 75 meV/atom; symmetry = P-6m2 (187)
1.0
3.352 0.000 0.000
0.000 3.721 0.000
0.000 -1.861 3.223
U B Fe
1 1 1
Direct
0.667 0.667 0.333 U
0.167 0.000 0.000 B
0.167 0.333 0.667 Fe

=====

Entry 4:
La8PtSe3I4, relaxed, DFT GGA-PBE; symmetry = R-3m (166); raw formation energy = -1.4180 eV/atom
1.0
-2.628 -0.473 -8.350
-6.276 -6.295 2.332
-0.052 7.705 4.182
Pt La I Se
1 8 4 3
Direct
0.000 0.500 0.000 Pt
0.232 0.706 0.975 La
0.257 0.294 0.025 La
0.768 0.294 0.025 La
0.743 0.706 0.975 La
0.768 0.294 0.537 La
0.264 0.292 0.528 La
0.736 0.708 0.472 La
0.232 0.706 0.463 La
0.500 0.000 0.000 I
0.500 0.000 0.500 I
0.000 0.000 0.500 I
0.000 0.000 0.000 I
0.500 0.500 0.500 Se
0.500 0.500 0.000 Se
0.000 0.500 0.500 Se

=====

Entry 5:
LaCd2Sb, relaxed, DFT GGA-PBE; symmetry = R-3m (166); raw formation energy = -0.0500 eV/atom
1.0
-3.891 9.465 -3.615
-6.546 7.385 -4.518
-6.373 8.691 -1.284
Sb Cd La
1 2 1
Direct
0.750 0.750 0.750 Sb
0.495 0.495 0.495 Cd
0.005 0.005 0.005 Cd
0.250 0.250 0.250 La

=====

Entry 6:
Cu2ReCl, relaxed, DFT GGA-PBE; relative energy among the computed polymorphs = 780 meV/atom; symmetry = I4/mmm (139); raw formation energy = 1.1160 eV/atom
1.0
5.138 0.019 0.000
2.607 4.427 0.000
-3.873 -2.223 2.542
Cl Re Cu
1 1 2
Direct
0.750 0.250 0.500 Cl
0.250 0.750 0.500 Re
0.500 0.500 0.000 Cu
0.000 0.000 0.000 Cu

=====

Entry 7:
Tb4Sn3Pd, relaxed, DFT GGA-PBE; DFT formation energy = -744 meV per atom; symmetry = Pmm2 (25)
1.0
4.317 0.000 0.000
0.000 4.393 0.000
0.000 0.000 11.319
Sn Pd Tb
3 1 4
Direct
0.000 0.000 0.411 Sn
0.000 0.500 0.594 Sn
0.500 0.000 0.917 Sn
0.500 0.500 0.084 Pd
0.500 0.500 0.347 Tb
0.000 0.500 0.874 Tb
0.500 0.000 0.639 Tb
0.000 0.000 0.134 Tb

=====

Entry 8:
AgSnI6, relaxed, DFT GGA-PBE; relative energy among the computed polymorphs = 26 meV/atom; symmetry = P-1 (2); raw formation energy = -0.1396 eV/atom
1.0
-4.588 0.900 5.280
-4.087 -6.847 2.729
1.554 -4.354 7.103
Ag I Sn
1 6 1
Direct
0.500 0.500 0.500 Ag
0.907 0.595 0.242 I
0.758 0.109 0.720 I
0.242 0.891 0.280 I
0.623 0.184 0.213 I
0.093 0.405 0.758 I
0.377 0.816 0.787 I
0.000 0.000 0.000 Sn

=====

Magnetic moment (Bohr magnetons per cell)
0.24, 0.95, 0.00, 0.00, 0.00, 1.87, 0.00, 0.00